Record 1
Compound: Li2ScCd
Source: the Alexandria database
Functional: PBE
Structure: optimized geometry

Cell lengths 3.1289, 3.1289, 10.1774 Å; angles 81.16, 81.16, 60.00 degrees
Element x y z (fractional)
Li 0.0791 0.0791 0.7628
Li 0.2543 0.2543 0.2371
Sc 0.4998 0.4998 0.5005
Cd 0.6668 0.6668 0.9996

## Properties
SG = R3m
Excess energy over the best structure of this formula in the dataset = 107 meV per atom


Record 2
Compound: TaBe2W
Source: the Alexandria database
Functional: PBE
Structure: optimized geometry

Cell lengths 4.8054, 4.8054, 4.4977 Å; angles 73.05, 73.05, 31.55 degrees
Element x y z (fractional)
Be 0.0307 0.0307 0.0240
Be 0.7183 0.7183 0.7306
W 0.2722 0.2722 0.1962
Ta 0.4787 0.4787 0.5492

## Properties
SG = Cm
Excess energy over the best structure of this formula in the dataset = 339 meV per atom


Record 3
Compound: Th3TeAs2Rh9
Source: the Alexandria database
Functional: PBE
Structure: optimized geometry

Cell lengths 5.6882, 5.6882, 11.2611 Å; angles 90.00, 90.00, 120.00 degrees
Element x y z (fractional)
Th 0.3333 0.6667 0.7494
Th 0.0000 0.0000 0.0000
Th 0.6667 0.3333 0.2506
Te 0.0000 0.0000 0.5000
As 0.3333 0.6667 0.1628
As 0.6667 0.3333 0.8372
Rh 0.8374 0.1626 0.6844
Rh 0.8374 0.6748 0.6844
Rh 0.3252 0.1626 0.6844
Rh 0.6748 0.8374 0.3156
Rh 0.1626 0.3252 0.3156
Rh 0.1626 0.8374 0.3156
Rh 0.5000 0.0000 0.0000
Rh 0.0000 0.5000 0.0000
Rh 0.5000 0.5000 0.0000

## Properties
SG = P-3m1
Uncorrected formation energy = -0.595 eV/atom


Record 4
Compound: Te3RhC
Source: the Alexandria database
Functional: PBE
Structure: optimized geometry

Cell lengths 5.2055, 5.2055, 5.2055 Å; angles 90.00, 90.00, 90.00 degrees
Element x y z (fractional)
C 0.5000 0.5000 0.5000
Te 0.0000 0.5000 0.0000
Te 0.0000 0.0000 0.5000
Te 0.5000 0.0000 0.0000
Rh 0.0000 0.0000 0.0000

## Properties
SG = Pm-3m
Excess energy over the best structure of this formula in the dataset = 499 meV per atom
Uncorrected formation energy = 1.654 eV/atom


Record 5
Compound: Ac2TlIn4Au3
Source: the Alexandria database
Functional: PBE
Structure: optimized geometry

Cell lengths 4.7391, 4.7391, 11.8237 Å; angles 90.00, 90.00, 90.00 degrees
Element x y z (fractional)
Ac 0.5000 0.0000 0.2482
Ac 0.0000 0.5000 0.7518
Tl 0.5000 0.5000 0.5000
In 0.5000 0.5000 0.0000
In 0.0000 0.0000 0.0000
In 0.5000 0.0000 0.6409
In 0.0000 0.5000 0.3591
Au 0.0000 0.0000 0.5000
Au 0.5000 0.0000 0.8684
Au 0.0000 0.5000 0.1316

## Properties
VASP energy = -3.630 eV/atom
SG = P-4m2


Record 6
Compound: Zr2Al3Zn2
Source: the Alexandria database
Functional: PBE
Structure: optimized geometry

Cell lengths 7.0467, 7.0467, 7.0467 Å; angles 109.47, 109.47, 109.47 degrees
Element x y z (fractional)
Zr 0.0000 0.0000 0.4964
Zr 0.5000 0.4964 0.5000
Zr 0.5036 0.0036 0.0036
Zr 0.9964 0.5000 0.0000
Al 0.7515 0.7500 0.0015
Al 0.7485 0.2500 0.4985
Al 0.9985 0.2485 0.2500
Al 0.5015 0.2515 0.7500
Al 0.2500 0.0015 0.2515
Al 0.7500 0.4985 0.2485
Zn 0.0000 0.0000 0.8772
Zn 0.5000 0.8772 0.5000
Zn 0.1228 0.6228 0.6228
Zn 0.3772 0.5000 0.0000

## Properties
VASP energy = -4.455 eV/atom
SG = I2_13


Record 7
Compound: SmTmThTl
Source: the Alexandria database
Functional: PBE
Structure: optimized geometry

Cell lengths 5.5228, 5.5228, 5.5228 Å; angles 60.00, 60.00, 60.00 degrees
Element x y z (fractional)
Tl 0.7500 0.7500 0.7500
Tm 0.2500 0.2500 0.2500
Sm 0.0000 0.0000 0.0000
Th 0.5000 0.5000 0.5000

## Properties
VASP energy = -4.727 eV/atom
SG = F-43m


Record 8
Compound: TbSm3Y2Bi6
Source: the Alexandria database
Functional: PBE
Structure: optimized geometry

Cell lengths 4.5236, 9.0428, 10.1089 Å; angles 102.83, 102.93, 90.00 degrees
Element x y z (fractional)
Tb 0.5000 0.0000 0.0000
Sm 0.5000 0.5000 0.0000
Sm 0.8334 0.1668 0.6667
Sm 0.1666 0.8332 0.3333
Y 0.8333 0.6667 0.6666
Y 0.1667 0.3333 0.3334
Bi 0.3343 0.9139 0.6686
Bi 0.6677 0.5806 0.3355
Bi 0.6657 0.0861 0.3314
Bi 0.0011 0.2476 0.0022
Bi 0.9989 0.7524 0.9978
Bi 0.3323 0.4194 0.6645

## Properties
VASP energy = -5.492 eV/atom
SG = C2/m


Record 9
Compound: InBP2Pt
Source: the Alexandria database
Functional: PBE
Structure: optimized geometry

Cell lengths 4.9472, 3.9703, 4.9472 Å; angles 90.00, 90.00, 90.00 degrees
Element x y z (fractional)
P 0.0000 0.0000 0.5000
P 0.5000 0.0000 0.0000
B 0.0000 0.5000 0.0000
Pt 0.0000 0.0000 0.0000
In 0.5000 0.5000 0.5000

## Properties
VASP energy = -4.628 eV/atom
SG = P4/mmm


Record 10
Compound: YBeTc4
Source: the Alexandria database
Functional: PBE
Structure: optimized geometry

Cell lengths 5.2325, 5.2325, 5.2325 Å; angles 60.00, 60.00, 60.00 degrees
Element x y z (fractional)
Y 0.7500 0.7500 0.7500
Be 0.0000 0.0000 0.0000
Tc 0.8778 0.3741 0.3741
Tc 0.3741 0.3741 0.8778
Tc 0.3741 0.8778 0.3741
Tc 0.3741 0.3741 0.3741

## Properties
VASP energy = -8.359 eV/atom
SG = F-43m


Record 11
Compound: SmMg3Ni
Source: the Alexandria database
Functional: PBE
Structure: optimized geometry

Cell lengths 4.3511, 7.3745, 7.3745 Å; angles 111.95, 90.00, 90.00 degrees
Element x y z (fractional)
Sm 0.5000 0.7015 0.2985
Sm 0.5000 0.2985 0.7015
Mg 0.5000 0.0000 0.0000
Mg 0.0000 0.0699 0.3196
Mg 0.0000 0.9301 0.6804
Mg 0.0000 0.6804 0.9301
Mg 0.0000 0.5000 0.5000
Mg 0.0000 0.3196 0.0699
Ni 0.5000 0.3236 0.3236
Ni 0.5000 0.6764 0.6764

## Properties
VASP energy = -3.234 eV/atom
SG = Cmmm


Record 12
Compound: Tm2BeCo3
Source: the Alexandria database
Functional: PBE
Structure: optimized geometry

Cell lengths 5.1089, 5.1089, 4.8185 Å; angles 90.00, 122.03, 119.99 degrees
Element x y z (fractional)
Tm 0.7435 0.3717 0.1152
Tm 0.2565 0.6283 0.8848
Be 0.0000 0.0000 0.0000
Co 0.5000 0.5000 0.5000
Co 0.0000 0.0000 0.5000
Co 0.5000 0.0000 0.5000

## Properties
VASP energy = -5.898 eV/atom
SG = R-3m